Entry 1:
The following is a PBE calculation of a relaxed LaCr2HAu crystal, from the Alexandria database.

Computed properties:
Uncorrected energy (eV per atom): -4.534

Cell: 4.7623 5.9069 4.7623 Å, 90.00 90.00 90.00°
Fractional positions:
Cr1 0.0000 0.0000 0.5000
Cr2 0.5000 0.0000 0.0000
H1 0.5000 0.5000 0.5000
La1 0.0000 0.5000 0.0000
Au1 0.0000 0.0000 0.0000



Entry 2:
The following is a PBE calculation of a relaxed HfAl2Ru2 crystal, from the Alexandria database.

Computed properties:
Formation enthalpy at 0 K (eV/atom): -0.55

Cell: 3.1550 3.1141 8.5184 Å, 79.47 90.00 90.00°
Fractional positions:
Ru1 0.5000 0.6003 0.7993
Ru2 0.5000 0.3997 0.2007
Al1 0.0000 0.1802 0.6397
Al2 0.0000 0.8198 0.3603
Hf1 0.0000 0.0000 0.0000



Entry 3:
The following is a PBE calculation of a relaxed DyZnOs crystal, from the Alexandria database.

Computed properties:
Formation enthalpy at 0 K (eV/atom): 0.04

Cell: 4.9144 4.9144 6.6119 Å, 80.07 128.56 113.15°
Fractional positions:
Zn1 0.0000 0.0000 0.5000
Zn2 0.5000 0.5000 0.5000
Dy1 0.2822 0.6629 0.9451
Dy2 0.7178 0.3371 0.0549
Os1 0.7386 0.0050 0.7435
Os2 0.2614 0.9950 0.2565